[1]
# TbMnCo2 (PBE, relaxed)
data_TbMnCo2
_chemical_formula_sum 'Tb1 Mn1 Co2'
_space_group_name_H-M_alt 'P 1'
_space_group_IT_number 1
_cell_length_a 4.4080
_cell_length_b 4.4080
_cell_length_c 4.4080
_cell_angle_alpha 60.00
_cell_angle_beta 60.00
_cell_angle_gamma 60.00
loop_
_space_group_symop_operation_xyz
'x,y,z'
loop_
_atom_site_label
_atom_site_fract_x
_atom_site_fract_y
_atom_site_fract_z
_atom_site_occupancy
Co1 0.2500 0.2500 0.2500 1
Co2 0.7500 0.7500 0.7500 1
Mn1 0.5000 0.5000 0.5000 1
Tb1 0.0000 0.0000 0.0000 1
# Electronic total energy (eV per atom): -6.944
# V (Å³ per cell): 60.56
# Symmetry: No. 225
# ΔE_f (eV/atom): 0.059
# ΔE to the lowest computed polymorph (kcal/mol of atoms): 2.07

[2]
# TbMn17Co (PBE, relaxed)
data_TbMn17Co
_chemical_formula_sum 'Tb1 Mn17 Co1'
_space_group_name_H-M_alt 'P 1'
_space_group_IT_number 1
_cell_length_a 6.2161
_cell_length_b 6.2161
_cell_length_c 6.2161
_cell_angle_alpha 80.23
_cell_angle_beta 80.23
_cell_angle_gamma 80.23
loop_
_space_group_symop_operation_xyz
'x,y,z'
loop_
_atom_site_label
_atom_site_fract_x
_atom_site_fract_y
_atom_site_fract_z
_atom_site_occupancy
Tb1 0.6579 0.6579 0.6579 1
Mn1 0.2966 0.0175 0.6764 1
Mn2 0.6764 0.2966 0.0175 1
Mn3 0.0175 0.6764 0.2966 1
Mn4 0.2966 0.6764 0.0175 1
Mn5 0.0175 0.2966 0.6764 1
Mn6 0.6764 0.0175 0.2966 1
Mn7 0.3406 0.8491 0.3406 1
Mn8 0.3406 0.3406 0.8491 1
Mn9 0.8491 0.3406 0.3406 1
Mn10 0.6557 0.1616 0.6557 1
Mn11 0.6557 0.6557 0.1616 1
Mn12 0.1616 0.6557 0.6557 1
Mn13 0.9886 0.4904 0.9886 1
Mn14 0.9886 0.9886 0.4904 1
Mn15 0.4904 0.9886 0.9886 1
Mn16 0.9080 0.9080 0.9080 1
Mn17 0.0851 0.0851 0.0851 1
Co1 0.3971 0.3971 0.3971 1
# Electronic total energy (eV per atom): -8.647
# V (Å³ per cell): 230.81
# Symmetry: No. 160
# ΔE_f (eV/atom): 0.175

[3]
# TbMnCo2 (PBE, relaxed)
data_TbMnCo2
_chemical_formula_sum 'Tb1 Mn1 Co2'
_space_group_name_H-M_alt 'P 1'
_space_group_IT_number 1
_cell_length_a 4.0148
_cell_length_b 4.0148
_cell_length_c 5.2803
_cell_angle_alpha 67.66
_cell_angle_beta 67.66
_cell_angle_gamma 60.00
loop_
_space_group_symop_operation_xyz
'x,y,z'
loop_
_atom_site_label
_atom_site_fract_x
_atom_site_fract_y
_atom_site_fract_z
_atom_site_occupancy
Co1 0.8045 0.8045 0.5866 1
Co2 0.1955 0.1955 0.4134 1
Mn1 0.5000 0.5000 0.5000 1
Tb1 0.0000 0.0000 0.0000 1
# Electronic total energy (eV per atom): -7.034
# V (Å³ per cell): 66.23
# Symmetry: No. 166
# ΔE_f (eV/atom): -0.031
# ΔE to the lowest computed polymorph (kcal/mol of atoms): 0.00